No. 1
Below is a relaxed Mg2TePb crystal, with properties calculated at the PBE level.

**Spin magnetization**: 0.00 μB per cell
**Formation energy (no corrections)**: -0.230 eV per atom
**Energy above the most stable polymorph in this dataset**: 0.105 eV per atom

Geometry as CIF:
```
data_Mg2TePb
_space_group_name_H-M_alt 'P 1 m 1'
_space_group_IT_number 6
_space_group_name_Hall 'P -2y'
_cell_length_a 4.220
_cell_length_b 6.125
_cell_length_c 4.248
_cell_angle_alpha 90.00
_cell_angle_beta 90.00
_cell_angle_gamma 90.00
loop_
_atom_site_label
_atom_site_type_symbol
_atom_site_fract_x
_atom_site_fract_y
_atom_site_fract_z
Mg1 Mg 0.000 0.000 0.000
Mg2 Mg 0.496 0.500 0.489
Te1 Te 0.499 0.000 0.498
Pb1 Pb 0.996 0.500 0.989
```


No. 2
Below is a relaxed MgTe2Pb crystal, with properties calculated at the PBE level.

**Spin magnetization**: 0.00 μB per cell
**Formation energy (no corrections)**: -0.263 eV per atom

Geometry as CIF:
```
data_MgTe2Pb
_space_group_name_H-M_alt 'P 4/m m m'
_space_group_IT_number 123
_space_group_name_Hall '-P 4 2'
_cell_length_a 3.855
_cell_length_b 3.855
_cell_length_c 7.646
_cell_angle_alpha 90.00
_cell_angle_beta 90.00
_cell_angle_gamma 90.00
loop_
_atom_site_label
_atom_site_type_symbol
_atom_site_fract_x
_atom_site_fract_y
_atom_site_fract_z
Mg1 Mg 0.000 0.000 0.000
Te1 Te 0.500 0.500 0.227
Pb1 Pb 0.000 0.000 0.500
```


No. 3
Below is a relaxed MgTe2Pb crystal, with properties calculated at the PBE level.

**Spin magnetization**: 0.00 μB per cell
**Formation energy (no corrections)**: -0.059 eV per atom

Geometry as CIF:
```
data_MgTe2Pb
_space_group_name_H-M_alt 'P 4 m m'
_space_group_IT_number 99
_space_group_name_Hall 'P 4 -2'
_cell_length_a 3.471
_cell_length_b 3.471
_cell_length_c 9.835
_cell_angle_alpha 90.00
_cell_angle_beta 90.00
_cell_angle_gamma 90.00
loop_
_atom_site_label
_atom_site_type_symbol
_atom_site_fract_x
_atom_site_fract_y
_atom_site_fract_z
Mg1 Mg 0.000 0.000 0.000
Te1 Te 0.000 0.000 0.480
Te2 Te 0.500 0.500 0.830
Pb1 Pb 0.500 0.500 0.225
```


No. 4
Below is a relaxed MgTe2Pb crystal, with properties calculated at the PBE level.

**Spin magnetization**: 0.00 μB per cell
**Formation energy (no corrections)**: -0.504 eV per atom

Geometry as CIF:
```
data_MgTe2Pb
_space_group_name_H-M_alt 'I -4 2 d'
_space_group_IT_number 122
_space_group_name_Hall 'I -4 2bw'
_cell_length_a 6.984
_cell_length_b 6.984
_cell_length_c 13.517
_cell_angle_alpha 90.00
_cell_angle_beta 90.00
_cell_angle_gamma 90.00
loop_
_atom_site_label
_atom_site_type_symbol
_atom_site_fract_x
_atom_site_fract_y
_atom_site_fract_z
Mg1 Mg 0.000 0.000 0.000
Te1 Te 0.207 0.250 0.125
Pb1 Pb 0.000 0.000 0.500
```


No. 5
Below is a relaxed Mg3TePb crystal, with properties calculated at the PBE level.

**Spin magnetization**: 0.00 μB per cell
**Formation energy (no corrections)**: 0.037 eV per atom
**Energy above the most stable polymorph in this dataset**: 0.000 eV per atom

Geometry as CIF:
```
data_Mg3TePb
_space_group_name_H-M_alt 'P m -3 m'
_space_group_IT_number 221
_space_group_name_Hall '-P 4 2 3'
_cell_length_a 5.384
_cell_length_b 5.384
_cell_length_c 5.384
_cell_angle_alpha 90.00
_cell_angle_beta 90.00
_cell_angle_gamma 90.00
loop_
_atom_site_label
_atom_site_type_symbol
_atom_site_fract_x
_atom_site_fract_y
_atom_site_fract_z
Mg1 Mg 0.000 0.000 0.500
Te1 Te 0.500 0.500 0.500
Pb1 Pb 0.000 0.000 0.000
```


No. 6
Below is a relaxed Mg2TePb crystal, with properties calculated at the PBE level.

**Spin magnetization**: 0.00 μB per cell
**Formation energy (no corrections)**: -0.145 eV per atom
**Energy above the most stable polymorph in this dataset**: 0.190 eV per atom

Geometry as CIF:
```
data_Mg2TePb
_space_group_name_H-M_alt 'I m m m'
_space_group_IT_number 71
_space_group_name_Hall '-I 2 2'
_cell_length_a 4.108
_cell_length_b 5.771
_cell_length_c 9.135
_cell_angle_alpha 90.00
_cell_angle_beta 90.00
_cell_angle_gamma 90.00
loop_
_atom_site_label
_atom_site_type_symbol
_atom_site_fract_x
_atom_site_fract_y
_atom_site_fract_z
Mg1 Mg 0.000 0.000 0.237
Te1 Te 0.000 0.500 0.500
Pb1 Pb 0.000 0.500 0.000
```


No. 7
Below is a relaxed MgTe2Pb crystal, with properties calculated at the PBE level.

**Spin magnetization**: 0.00 μB per cell
**Formation energy (no corrections)**: -0.246 eV per atom

Geometry as CIF:
```
data_MgTe2Pb
_space_group_name_H-M_alt 'R -3 m'
_space_group_IT_number 166
_space_group_name_Hall '-R 3 2"'
_cell_length_a 3.7561
_cell_length_b 3.7561
_cell_length_c 30.9877
_cell_angle_alpha 90.00
_cell_angle_beta 90.00
_cell_angle_gamma 120.00
loop_
_atom_site_label
_atom_site_type_symbol
_atom_site_fract_x
_atom_site_fract_y
_atom_site_fract_z
Mg1 Mg 0.0000 0.0000 0.0000
Te1 Te 0.0000 0.0000 0.3955
Pb1 Pb 0.0000 0.0000 0.5000
```


No. 8
Below is a relaxed Mg2TePb crystal, with properties calculated at the PBE level.

**Spin magnetization**: 0.00 μB per cell
**Formation energy (no corrections)**: 0.039 eV per atom
**Energy above the most stable polymorph in this dataset**: 0.374 eV per atom

Geometry as CIF:
```
data_Mg2TePb
_space_group_name_H-M_alt 'F -4 3 m'
_space_group_IT_number 216
_space_group_name_Hall 'F -4 2 3'
_cell_length_a 7.621
_cell_length_b 7.621
_cell_length_c 7.621
_cell_angle_alpha 90.00
_cell_angle_beta 90.00
_cell_angle_gamma 90.00
loop_
_atom_site_label
_atom_site_type_symbol
_atom_site_fract_x
_atom_site_fract_y
_atom_site_fract_z
Mg1 Mg 0.000 0.000 0.000
Mg2 Mg 0.250 0.250 0.250
Te1 Te 0.250 0.250 0.750
Pb1 Pb 0.000 0.000 0.500
```


No. 9
Below is a relaxed Mg2TePb crystal, with properties calculated at the PBE level.

**Spin magnetization**: 0.00 μB per cell
**Formation energy (no corrections)**: -0.335 eV per atom
**Energy above the most stable polymorph in this dataset**: 0.000 eV per atom

Geometry as CIF:
```
data_Mg2TePb
_space_group_name_H-M_alt 'R -3 m'
_space_group_IT_number 166
_space_group_name_Hall '-R 3 2"'
_cell_length_a 4.0159
_cell_length_b 4.0159
_cell_length_c 23.8044
_cell_angle_alpha 90.00
_cell_angle_beta 90.00
_cell_angle_gamma 120.00
loop_
_atom_site_label
_atom_site_type_symbol
_atom_site_fract_x
_atom_site_fract_y
_atom_site_fract_z
Mg1 Mg 0.0000 0.0000 0.2407
Te1 Te 0.0000 0.0000 0.5000
Pb1 Pb 0.0000 0.0000 0.0000
```


No. 10
Below is a relaxed Mg2TePb crystal, with properties calculated at the PBE level.

**Spin magnetization**: 0.00 μB per cell
**Formation energy (no corrections)**: -0.075 eV per atom
**Energy above the most stable polymorph in this dataset**: 0.260 eV per atom

Geometry as CIF:
```
data_Mg2TePb
_space_group_name_H-M_alt 'F m -3 m'
_space_group_IT_number 225
_space_group_name_Hall '-F 4 2 3'
_cell_length_a 7.450
_cell_length_b 7.450
_cell_length_c 7.450
_cell_angle_alpha 90.00
_cell_angle_beta 90.00
_cell_angle_gamma 90.00
loop_
_atom_site_label
_atom_site_type_symbol
_atom_site_fract_x
_atom_site_fract_y
_atom_site_fract_z
Mg1 Mg 0.250 0.250 0.250
Te1 Te 0.000 0.000 0.000
Pb1 Pb 0.000 0.000 0.500
```


No. 11
Below is a relaxed Mg2TePb crystal, with properties calculated at the PBE level.

**Spin magnetization**: 0.00 μB per cell
**Formation energy (no corrections)**: -0.172 eV per atom
**Energy above the most stable polymorph in this dataset**: 0.163 eV per atom

Geometry as CIF:
```
data_Mg2TePb
_space_group_name_H-M_alt 'I -4 m 2'
_space_group_IT_number 119
_space_group_name_Hall 'I -4 -2'
_cell_length_a 4.330
_cell_length_b 4.330
_cell_length_c 11.401
_cell_angle_alpha 90.00
_cell_angle_beta 90.00
_cell_angle_gamma 90.00
loop_
_atom_site_label
_atom_site_type_symbol
_atom_site_fract_x
_atom_site_fract_y
_atom_site_fract_z
Mg1 Mg 0.000 0.000 0.000
Mg2 Mg 0.000 0.500 0.250
Te1 Te 0.000 0.000 0.500
Pb1 Pb 0.000 0.500 0.750
```


No. 12
Below is a relaxed MgTe2Pb2 crystal, with properties calculated at the PBE level.

**Spin magnetization**: 0.00 μB per cell
**Formation energy (no corrections)**: -0.190 eV per atom

Geometry as CIF:
```
data_MgTe2Pb2
_space_group_name_H-M_alt 'P 4/m b m'
_space_group_IT_number 127
_space_group_name_Hall '-P 4 2ab'
_cell_length_a 7.813
_cell_length_b 7.813
_cell_length_c 5.220
_cell_angle_alpha 90.00
_cell_angle_beta 90.00
_cell_angle_gamma 90.00
loop_
_atom_site_label
_atom_site_type_symbol
_atom_site_fract_x
_atom_site_fract_y
_atom_site_fract_z
Mg1 Mg 0.000 0.000 0.000
Te1 Te 0.176 0.324 0.000
Pb1 Pb 0.158 0.658 0.500
```


No. 13
Below is a relaxed MgTe2Pb crystal, with properties calculated at the PBE level.

**Spin magnetization**: 0.00 μB per cell
**Formation energy (no corrections)**: -0.431 eV per atom

Geometry as CIF:
```
data_MgTe2Pb
_space_group_name_H-M_alt 'I m m 2'
_space_group_IT_number 44
_space_group_name_Hall 'I 2 -2'
_cell_length_a 4.011
_cell_length_b 4.164
_cell_length_c 15.087
_cell_angle_alpha 90.00
_cell_angle_beta 90.00
_cell_angle_gamma 90.00
loop_
_atom_site_label
_atom_site_type_symbol
_atom_site_fract_x
_atom_site_fract_y
_atom_site_fract_z
Mg1 Mg 0.000 0.000 0.000
Te1 Te 0.000 0.000 0.426
Te2 Te 0.000 0.500 0.652
Pb1 Pb 0.000 0.500 0.252
```


No. 14
Below is a relaxed MgTe2Pb crystal, with properties calculated at the PBE level.

**Spin magnetization**: 0.00 μB per cell
**Formation energy (no corrections)**: -0.064 eV per atom

Geometry as CIF:
```
data_MgTe2Pb
_space_group_name_H-M_alt 'C m m 2'
_space_group_IT_number 35
_space_group_name_Hall 'C 2 -2'
_cell_length_a 4.411
_cell_length_b 5.581
_cell_length_c 9.901
_cell_angle_alpha 90.00
_cell_angle_beta 90.00
_cell_angle_gamma 90.00
loop_
_atom_site_label
_atom_site_type_symbol
_atom_site_fract_x
_atom_site_fract_y
_atom_site_fract_z
Mg1 Mg 0.000 0.000 0.000
Te1 Te 0.000 0.000 0.478
Te2 Te 0.000 0.500 0.827
Pb1 Pb 0.000 0.500 0.244
```